LaSi2Au GGA-PBEsol optimized geometry; total magnetization = 0.0 μB per formula unit; E_tot = -21.40 eV for the cell shown; energy relative to the elements, uncorrected = -160 meV per atom
1.0
0.000 3.400 3.400
3.400 0.000 3.400
3.400 3.400 0.000
La Si Au
1 2 1
direct
0.000 0.000 0.000
0.250 0.250 0.250
0.750 0.750 0.750
0.500 0.500 0.500